The following is a PBE calculation of Li2ZrSe3 after structural relaxation, from Alexandria via LeMat-Bulk.

Cell lengths 6.749, 6.749, 6.692 Å; angles 100.22, 100.22, 119.21 degrees
Element x y z (fractional)
Li (0.088, 0.912, 0.750)
Li (0.257, 0.743, 0.250)
Li (0.743, 0.257, 0.750)
Li (0.912, 0.088, 0.250)
Zr (0.416, 0.584, 0.750)
Zr (0.584, 0.416, 0.250)
Se (0.000, 0.500, 0.500)
Se (0.179, 0.336, 0.993)
Se (0.336, 0.179, 0.493)
Se (0.500, 0.000, 0.000)
Se (0.664, 0.821, 0.507)
Se (0.821, 0.664, 0.007)

Output
- ΔE_f (raw): -1.2994 eV per atom
- Energy above the lowest structure with this stoichiometry: 20 meV per atom
- Crystal system: monoclinic